Computed, not measured: crystalline Ni2AuBrF at its relaxed geometry at the PBE with a Hubbard U level of DFT.

a = 5.011 Å, b = 4.973 Å, c = 5.011 Å
α = 90.00°, β = 90.00°, γ = 90.00°
Last column: magnetic moment on the atom in μB.
Positions (direct):
Br 0.000 0.500 0.000  0.00
Ni 0.000 0.000 0.500  0.99
F 0.500 0.500 0.500  0.00
Au 0.000 0.000 0.000  0.00
Ni 0.500 0.000 0.000  1.00

Results
Its volume is 24.98 Å³/atom. The value obtained for the raw total energy is -9.1 eV for the cell shown. As for the crystal system: tetragonal.